No. 1
DFT (meta-GGA SCAN) results for BaY2In2 at its PBEsol-relaxed geometry.

Computed properties:
* energy of formation: -495 meV/atom

CIF file:
```
data_BaY2In2
_chemical_formula_sum 'Ba2 Y4 In4'
_space_group_name_H-M_alt 'P 4/m b m'
_space_group_IT_number 127
_space_group_name_Hall '-P 4 2ab'
_cell_length_a 9.2869
_cell_length_b 9.2869
_cell_length_c 3.4319
_cell_angle_alpha 90.00
_cell_angle_beta 90.00
_cell_angle_gamma 90.00
loop_
_atom_site_label
_atom_site_fract_x
_atom_site_fract_y
_atom_site_fract_z
Ba1 0.0000 0.0000 0.0000
Y1 0.1254 0.3746 0.0000
In1 0.1715 0.6715 0.5000
```



No. 2
DFT (meta-GGA SCAN) results for KCrTc2 at its PBEsol-relaxed geometry.

Computed properties:
* energy of formation: 1698 meV/atom

CIF file:
```
data_KCrTc2
_chemical_formula_sum 'K1 Cr1 Tc2'
_space_group_name_H-M_alt 'P 4/m m m'
_space_group_IT_number 123
_space_group_name_Hall '-P 4 2'
_cell_length_a 5.0175
_cell_length_b 5.0175
_cell_length_c 2.5113
_cell_angle_alpha 90.00
_cell_angle_beta 90.00
_cell_angle_gamma 90.00
loop_
_atom_site_label
_atom_site_fract_x
_atom_site_fract_y
_atom_site_fract_z
K1 0.0000 0.0000 0.0000
Cr1 0.5000 0.5000 0.0000
Tc1 0.0000 0.5000 0.5000
```



No. 3
DFT (meta-GGA SCAN) results for Mn23FeO32 at its PBEsol-relaxed geometry.

Computed properties:
* uncorrected formation energy: -2.0780 eV/atom

CIF file:
```
data_Mn23FeO32
_chemical_formula_sum 'Mn23 Fe1 O32'
_space_group_name_H-M_alt 'P -1'
_space_group_IT_number 2
_space_group_name_Hall '-P 1'
_cell_length_a 6.0633
_cell_length_b 10.1602
_cell_length_c 10.1935
_cell_angle_alpha 107.18
_cell_angle_beta 92.38
_cell_angle_gamma 93.38
loop_
_atom_site_label
_atom_site_fract_x
_atom_site_fract_y
_atom_site_fract_z
Mn1 0.0000 0.0000 0.0000
Mn2 0.0000 0.5000 0.5000
Mn3 0.0026 0.3157 0.9369
Mn4 0.0039 0.2502 0.2510
Mn5 0.0091 0.8085 0.4321
Mn6 0.2473 0.0038 0.7494
Mn7 0.2483 0.4979 0.7479
Mn8 0.2546 0.9952 0.2465
Mn9 0.2581 0.5015 0.2483
Mn10 0.4963 0.2564 0.7525
Mn11 0.4963 0.8081 0.9342
Mn12 0.4978 0.3112 0.4345
Mn13 0.5000 0.0000 0.5000
Fe1 0.5000 0.5000 0.0000
O1 0.0099 0.8775 0.6370
O2 0.0128 0.8891 0.1256
O3 0.0146 0.3770 0.1401
O4 0.0216 0.6016 0.3601
O5 0.2303 0.3788 0.3664
O6 0.2303 0.6109 0.6254
O7 0.2305 0.8766 0.8608
O8 0.2344 0.1119 0.1272
O9 0.2633 0.1251 0.6352
O10 0.2680 0.6208 0.1314
O11 0.2741 0.3697 0.8540
O12 0.2904 0.8684 0.3585
O13 0.4817 0.1288 0.8622
O14 0.4887 0.3961 0.1481
O15 0.4897 0.1064 0.3723
O16 0.4896 0.6253 0.3636
```



No. 4
DFT (meta-GGA SCAN) results for CuRe2H at its PBEsol-relaxed geometry.

CIF file:
```
data_CuRe2H
_chemical_formula_sum 'Cu4 Re8 H4'
_space_group_name_H-M_alt 'F m -3 m'
_space_group_IT_number 225
_space_group_name_Hall '-F 4 2 3'
_cell_length_a 5.6763
_cell_length_b 5.6763
_cell_length_c 5.6763
_cell_angle_alpha 90.00
_cell_angle_beta 90.00
_cell_angle_gamma 90.00
loop_
_atom_site_label
_atom_site_fract_x
_atom_site_fract_y
_atom_site_fract_z
Cu1 0.0000 0.0000 0.0000
Re1 0.2500 0.2500 0.2500
H1 0.0000 0.0000 0.5000
```



No. 5
DFT (meta-GGA SCAN) results for MgInW2 at its PBEsol-relaxed geometry.

Computed properties:
* energy of formation: 342 meV/atom

CIF file:
```
data_MgInW2
_chemical_formula_sum 'Mg2 In2 W4'
_space_group_name_H-M_alt 'C m m 2'
_space_group_IT_number 35
_space_group_name_Hall 'C 2 -2'
_cell_length_a 3.2329
_cell_length_b 4.7291
_cell_length_c 9.3898
_cell_angle_alpha 90.00
_cell_angle_beta 90.00
_cell_angle_gamma 90.00
loop_
_atom_site_label
_atom_site_fract_x
_atom_site_fract_y
_atom_site_fract_z
Mg1 0.0000 0.0000 0.0000
In1 0.0000 0.5000 0.2779
W1 0.0000 0.0000 0.5352
W2 0.0000 0.5000 0.7529
```



No. 6
DFT (meta-GGA SCAN) results for GaSbC2O at its PBEsol-relaxed geometry.

Computed properties:
* uncorrected formation energy: 2.1733 eV/atom

CIF file:
```
data_GaSbC2O
_chemical_formula_sum 'Ga1 Sb1 C2 O1'
_space_group_name_H-M_alt 'P 4/m m m'
_space_group_IT_number 123
_space_group_name_Hall '-P 4 2'
_cell_length_a 3.9553
_cell_length_b 3.9553
_cell_length_c 4.2790
_cell_angle_alpha 90.00
_cell_angle_beta 90.00
_cell_angle_gamma 90.00
loop_
_atom_site_label
_atom_site_fract_x
_atom_site_fract_y
_atom_site_fract_z
Ga1 0.0000 0.0000 0.0000
Sb1 0.5000 0.5000 0.0000
C1 0.0000 0.5000 0.5000
O1 0.5000 0.5000 0.5000
```



No. 7
DFT (meta-GGA SCAN) results for SrLi2Mg2 at its PBEsol-relaxed geometry.

Computed properties:
* energy of formation: 13 meV/atom

CIF file:
```
data_SrLi2Mg2
_chemical_formula_sum 'Sr2 Li4 Mg4'
_space_group_name_H-M_alt 'P 4/m b m'
_space_group_IT_number 127
_space_group_name_Hall '-P 4 2ab'
_cell_length_a 8.5654
_cell_length_b 8.5654
_cell_length_c 3.5001
_cell_angle_alpha 90.00
_cell_angle_beta 90.00
_cell_angle_gamma 90.00
loop_
_atom_site_label
_atom_site_fract_x
_atom_site_fract_y
_atom_site_fract_z
Sr1 0.0000 0.0000 0.0000
Li1 0.1271 0.3729 0.0000
Mg1 0.1631 0.6631 0.5000
```



No. 8
DFT (meta-GGA SCAN) results for Tm2O3 at its PBEsol-relaxed geometry.

Computed properties:
* uncorrected formation energy: -3.9623 eV/atom

CIF file:
```
data_Tm2O3
_chemical_formula_sum 'Tm2 O3'
_space_group_name_H-M_alt 'P -3 m 1'
_space_group_IT_number 164
_space_group_name_Hall '-P 3 2"'
_cell_length_a 3.5709
_cell_length_b 3.5709
_cell_length_c 5.6856
_cell_angle_alpha 90.00
_cell_angle_beta 90.00
_cell_angle_gamma 120.00
loop_
_atom_site_label
_atom_site_fract_x
_atom_site_fract_y
_atom_site_fract_z
Tm1 0.3333 0.6667 0.2490
O1 0.0000 0.0000 0.0000
O2 0.3333 0.6667 0.6459
```



| no. | DFT total energy (eV/f.u.) | size of the total moment (μB/f.u.) |
| --- | --- | --- |
| 1 | -164.48 | 0.00 |
| 2 | -90.04 | 2.55 |
| 3 | -753.77 | 97.35 |
| 4 | -156.60 | 0.00 |
| 5 | -176.37 | 0.00 |
| 6 | -69.17 | 0.00 |
| 7 | -36.94 | 0.00 |
| 8 | -142.17 | 0.00 |